A relaxed structure of Fe2PIr, computed with GGA-PBE.

abc: 5.8324 5.8324 5.8324
angles: 90.00 90.00 90.00
Last column: nearest neighbours and their distance in Å.
Space group F-43m (No. 216)
Asymmetric unit:
Fe 0.0000 0.0000 0.0000 x4  4 Fe 2.53, 4 P 2.53
Fe 0.2500 0.2500 0.2500 x4  4 Fe 2.53, 4 Ir 2.53
P 0.2500 0.2500 0.7500 x4  4 Fe 2.53, 4 Ir 2.53
Ir 0.0000 0.0000 0.5000 x4  4 Fe 2.53, 4 P 2.53

Theoretical density ... 11.21 g/cm3
Raw total energy ... -7.831 eV per atom

A relaxed structure of Fe2PIr, computed with GGA-PBE.

abc: 9.2935 2.8137 4.2398
angles: 90.00 117.05 90.00
Last column: nearest neighbours and their distance in Å.
Space group Cm (No. 8)
Asymmetric unit:
Fe 0.0000 0.0000 0.0000 x2  2 P 2.23
Fe 0.2118 0.0000 0.7321 x2  2 P 2.27
P 0.2026 0.5000 0.3018 x2  4 Fe 2.23-2.27, 2 Ir 2.36
Ir 0.4267 0.0000 0.4275 x2  2 P 2.36, 4 Fe 2.61-2.62

Theoretical density ... 11.26 g/cm3
Raw total energy ... -7.934 eV per atom

A relaxed structure of FePIr3, computed with GGA-PBE.

abc: 4.3619 4.3619 4.3619
angles: 90.00 90.00 90.00
Last column: nearest neighbours and their distance in Å.
Space group Pm-3m (No. 221)
Asymmetric unit:
Fe 0.0000 0.0000 0.0000 x1  12 Ir 3.08
P 0.5000 0.5000 0.5000 x1  6 Ir 2.18
Ir 0.0000 0.5000 0.5000 x3  2 P 2.18

Polymorph energy (0 for the lowest one) ... 0 meV/atom
Theoretical density ... 13.28 g/cm3

A relaxed structure of FePIr, computed with GGA-PBE.

abc: 2.8260 2.8260 9.2268
angles: 90.00 90.00 90.00
Last column: nearest neighbours and their distance in Å.
Space group I4mm (No. 107)
Asymmetric unit:
Fe 0.0000 0.0000 0.0000 x2  4 P 2.32
P 0.0000 0.0000 0.3729 x2  4 Fe 2.32, 4 Ir 2.52
Ir 0.0000 0.0000 0.7069 x2  4 P 2.52, 5 Fe 2.70-2.76

Theoretical density ... 12.58 g/cm3
Raw total energy ... -7.694 eV per atom

A relaxed structure of Fe2PIr, computed with GGA-PBE.

abc: 3.6039 3.6039 7.1493
angles: 90.00 90.00 90.00
Last column: nearest neighbours and their distance in Å.
Space group I4/mmm (No. 139)
Asymmetric unit:
Fe 0.0000 0.5000 0.2500 x4  4 Ir 2.54, 4 P 2.54, 4 Fe 2.55
P 0.0000 0.0000 0.0000 x2  8 Fe 2.54, 4 Ir 2.55
Ir 0.0000 0.0000 0.5000 x2  8 Fe 2.54, 4 P 2.55

Theoretical density ... 11.98 g/cm3
Raw total energy ... -7.768 eV per atom

A relaxed structure of Fe2PIr, computed with GGA-PBE.

abc: 2.7054 3.6480 4.9255
angles: 90.00 104.36 90.00
Last column: nearest neighbours and their distance in Å.
Space group P2/m (No. 10)
Asymmetric unit:
Fe 0.1349 0.0000 0.2692 x2  2 P 2.24
P 0.5000 0.5000 0.5000 x1  4 Fe 2.24, 2 Ir 2.46
Ir 0.5000 0.5000 0.0000 x1  2 P 2.46, 8 Fe 2.59-2.63, 2 Ir 2.71

Theoretical density ... 11.81 g/cm3
Raw total energy ... -7.896 eV per atom